The following is a DFT calculation (PBE) of PHPd3 after structural relaxation.

Structure (CIF):
```
data_PHPd3
_chemical_formula_sum 'P2 H2 Pd6'
_cell_length_a 3.081
_cell_length_b 6.432
_cell_length_c 6.696
_cell_angle_alpha 90.00
_cell_angle_beta 90.00
_cell_angle_gamma 90.00
_space_group_name_H-M_alt 'P m c 21'
_space_group_IT_number 26
_space_group_name_Hall 'P 2c -2'
loop_
_atom_site_label
_atom_site_type_symbol
_atom_site_fract_x
_atom_site_fract_y
_atom_site_fract_z
P1 P 0.000 0.159 0.000
H1 H 0.500 0.294 0.524
Pd1 Pd 0.000 0.193 0.644
Pd2 Pd 0.500 0.153 0.275
Pd3 Pd 0.500 0.437 0.947
```

The value obtained for the density of states at the Fermi level is 0.494 states/eV/atom. The calculation puts the energy above the most stable polymorph in this dataset at 0.00 eV/f.u. The calculation puts the total energy at -5.099 eV per atom.